First-principles (PBE) data for a relaxed ScMnSBr2 crystal, as listed in Alexandria via LeMat-Bulk.

- ΔE_f (raw) (eV/atom) = -0.60
- ρ (g cm⁻³) = 3.4
- calculated total energy (Ry/atom) = -0.3818
- DOS(E_F) (states/eV/cell) = 0.22

abc: 5.397 5.397 4.868
angles: 90.00 90.00 90.00
Space group P4/mmm (No. 123)
Symmetry-distinct sites (fractional):
1 Sc 0.000 0.000 0.000 x1
2 Mn 0.500 0.500 0.500 x1
3 S 0.000 0.000 0.500 x1
4 Br 0.000 0.500 0.000 x2